[1]
Below is a relaxed structure of K2InCoCl6, with properties calculated at the PBE level.

extended XYZ file:
```
10
Lattice="0.000 5.055 5.055 5.055 0.000 5.055 5.055 5.055 0.000" Properties=species:S:1:pos:R:3 pbc="T T T"
Cl 2.424 5.055 5.055
Cl 7.686 5.055 5.055
Cl 5.055 5.055 2.424
Cl 5.055 2.424 5.055
Cl 5.055 5.055 7.686
Cl 5.055 7.686 5.055
Co 0.000 0.000 0.000
K 7.582 7.582 7.582
K 2.527 2.527 2.527
In 5.055 5.055 5.055
```

Properties
Crystal system: cubic
E: -3.5163 eV/atom

=====

[2]
Below is a relaxed structure of ErW, with properties calculated at the PBE level.

extended XYZ file:
```
2
Lattice="0.000 3.238 3.238 3.238 0.000 3.238 3.238 3.238 0.000" Properties=species:S:1:pos:R:3 pbc="T T T"
Er 0.000 0.000 0.000
W 1.619 1.619 1.619
```

Properties
Crystal system: cubic
Energy of formation: 2.95 eV/atom

=====

[3]
Below is a relaxed structure of MoPb2, with properties calculated at the PBE level.

extended XYZ file:
```
6
Lattice="-2.949 3.558 4.212 -0.087 6.216 -0.671 -5.320 2.905 -1.538" Properties=species:S:1:pos:R:3 pbc="T T T"
Pb -3.748 6.145 -0.854
Pb -5.222 7.925 1.252
Pb -2.563 6.472 2.021
Pb -5.179 4.817 1.587
Mo 0.000 0.000 0.000
Mo -2.089 3.170 0.501
```

Properties
Crystal system: cubic
E: -4.7079 eV/atom

=====

[4]
Below is a relaxed structure of ScReSn, with properties calculated at the PBE level.

extended XYZ file:
```
3
Lattice="0.000 3.226 3.226 3.226 0.000 3.226 3.226 3.226 0.000" Properties=species:S:1:pos:R:3 pbc="T T T"
Re 1.613 1.613 1.613
Sn 4.840 4.840 4.840
Sc 0.000 0.000 0.000
```

Properties
Crystal system: cubic
E: -6.7688 eV/atom

=====

[5]
Below is a relaxed structure of KCuTcSe3, with properties calculated at the PBE level.

extended XYZ file:
```
12
Lattice="1.870 -7.453 0.000 1.870 7.453 0.000 0.000 0.000 9.820" Properties=species:S:1:pos:R:3 pbc="T T T"
Cu 1.870 0.522 7.365
Cu 1.870 -0.522 2.455
Se 1.870 -1.757 0.407
Se 1.870 -6.446 2.455
Se 1.870 -1.757 4.503
Se 1.870 1.757 9.413
Se 1.870 1.757 5.317
Se 1.870 6.446 7.365
K 1.870 3.815 2.455
K 1.870 -3.815 7.365
Tc 0.000 0.000 4.910
Tc 0.000 0.000 0.000
```

Properties
Crystal system: orthorhombic
E: -4.7113 eV/atom

=====

[6]
Below is a relaxed structure of Zr3Ni2As4Pt2, with properties calculated at the PBE level.

extended XYZ file:
```
11
Lattice="-3.867 0.544 5.308 3.071 -0.666 2.306 1.433 7.347 0.215" Properties=species:S:1:pos:R:3 pbc="T T T"
Zr -0.816 5.308 2.621
Zr -0.078 2.287 4.059
Zr 1.723 1.016 1.293
As -0.496 4.892 5.369
As -0.435 2.750 1.375
As -2.743 1.062 3.961
As 1.857 6.376 2.663
Ni -1.370 0.608 2.000
Ni 0.495 6.958 4.647
Pt -2.588 3.687 4.513
Pt 1.766 3.961 2.087
```

Properties
Crystal system: monoclinic
E: -6.9620 eV/atom

=====

[7]
Below is a relaxed structure of MgNiN2, with properties calculated at the PBE level.

extended XYZ file:
```
16
Lattice="-2.001 -3.495 -3.969 5.133 1.381 -3.805 2.487 -3.707 2.010" Properties=species:S:1:pos:R:3 pbc="T T T"
N 4.870 -5.279 -5.394
N 1.827 -2.776 -2.974
N 1.344 -1.428 0.110
N 4.163 -1.032 -1.998
N 4.386 -3.931 -2.309
N 4.244 -2.489 -4.785
N 2.241 -4.623 -0.279
N 2.322 -6.079 -3.066
Mg 5.768 -4.532 -3.717
Mg 1.034 -3.051 -1.091
Mg 5.462 -3.136 -0.764
Mg 1.340 -4.447 -4.044
Ni 3.219 -5.228 -1.715
Ni 3.873 -3.852 -5.950
Ni 2.984 -3.813 1.185
Ni 3.637 -2.437 -3.049
```

Properties
Crystal system: orthorhombic
E: -5.8147 eV/atom

=====

[8]
Below is a relaxed structure of Cs2IrPdBr6, with properties calculated at the PBE level.

extended XYZ file:
```
10
Lattice="-6.995 -0.323 2.731 -4.897 5.486 -1.551 -5.781 -1.318 -4.619" Properties=species:S:1:pos:R:3 pbc="T T T"
Br -10.871 0.082 -1.806
Br -9.788 3.083 -4.019
Br -6.801 3.764 -1.632
Br -10.415 3.597 -0.221
Br -7.885 0.762 0.580
Br -7.258 0.249 -3.217
Ir 0.000 0.000 0.000
Cs -13.254 2.884 -2.579
Cs -4.418 0.961 -0.860
Pd -8.836 1.923 -1.719
```

Properties
Crystal system: cubic
E: -3.3436 eV/atom

=====

[9]
Below is a relaxed structure of Ho4CuPd3, with properties calculated at the PBE level.

extended XYZ file:
```
8
Lattice="-0.226 -4.454 3.276 3.430 1.665 2.500 -4.584 3.289 4.100" Properties=species:S:1:pos:R:3 pbc="T T T"
Cu -2.607 -1.074 4.293
Pd -2.702 3.301 5.666
Pd -0.387 -3.630 2.948
Pd -0.496 0.739 4.346
Ho -3.159 1.626 3.253
Ho -0.916 -0.994 1.918
Ho 0.071 -1.972 5.373
Ho -2.185 0.671 6.708
```

Properties
Crystal system: monoclinic
Energy of formation: -0.78 eV/atom

=====

[10]
Below is a relaxed structure of Li5TcO4, with properties calculated at the PBE level.

extended XYZ file:
```
10
Lattice="5.079 0.000 0.000 0.000 3.120 0.000 -0.083 0.000 5.387" Properties=species:S:1:pos:R:3 pbc="T T T"
Tc 0.000 1.560 0.000
Li 1.885 0.000 0.952
Li -0.042 0.000 2.693
Li 1.694 1.560 3.518
Li 3.301 1.560 1.869
Li 3.110 0.000 4.435
O 1.133 0.000 4.514
O 3.780 1.560 3.664
O 1.215 1.560 1.722
O 3.862 0.000 0.873
```

Properties
Crystal system: monoclinic
E: -5.5869 eV/atom

=====

[11]
Below is a relaxed structure of Tb2PrS3, with properties calculated at the PBE level.

extended XYZ file:
```
6
Lattice="-3.112 -1.271 2.102 3.382 0.946 1.840 -3.125 9.274 0.978" Properties=species:S:1:pos:R:3 pbc="T T T"
S -3.509 7.069 2.817
S -1.563 4.637 0.489
S 0.654 1.880 2.104
Pr 0.000 0.000 0.000
Tb -2.001 2.594 2.345
Tb -0.854 6.355 2.576
```

Properties
Crystal system: trigonal
E: -6.4189 eV/atom

=====

[12]
Below is a relaxed structure of SrHfSb, with properties calculated at the PBE level.

extended XYZ file:
```
3
Lattice="1.400 -5.041 -0.750 1.459 -2.978 4.115 -3.146 -3.896 1.690" Properties=species:S:1:pos:R:3 pbc="T T T"
Sb -0.216 -8.936 3.791
Sr 0.000 0.000 0.000
Hf -0.072 -2.979 1.264
```

Properties
Crystal system: cubic
E: -4.3821 eV/atom